Entry 1:
Below is a geometry-optimized KFeSb2 structure, with properties calculated at the PBE-GGA level.

Properties
formation energy without anion corrections	612	meV per atom
magnetic moment	2.993	μB/cell
Fermi-level density of states	1.22	states/eV per atom
total energy	-3.839	eV/atom
energy relative to the lowest polymorph listed for this composition	0.6704	eV per atom

a = 5.2959 Å, b = 5.2959 Å, c = 5.2959 Å
α = 60.00°, β = 60.00°, γ = 60.00°
Last column: magnetic moment on the atom in μB.
Atoms (fractional coordinates):
Fe  0.5000  0.5000  0.5000  3.08
K  0.7500  0.7500  0.7500  -0.01
Sb  0.0000  0.0000  0.0000  -0.06
Sb  0.2500  0.2500  0.2500  -0.02


Entry 2:
Below is a geometry-optimized KFeSb2 structure, with properties calculated at the PBE-GGA level.

Properties
formation energy without anion corrections	-58	meV per atom
magnetic moment	1.833	μB/cell
Fermi-level density of states	0.87	states/eV per atom
total energy	-4.510	eV/atom
energy relative to the lowest polymorph listed for this composition	0.0000	eV per atom

a = 4.2970 Å, b = 4.2970 Å, c = 7.6069 Å
α = 77.12°, β = 77.12°, γ = 54.48°
Last column: magnetic moment on the atom in μB.
Atoms (fractional coordinates):
Fe  0.2500  0.2500  0.2500  1.91
K  0.7500  0.7500  0.7500  0.00
Sb  0.9701  0.9701  0.1019  -0.04
Sb  0.5299  0.5299  0.3981  -0.04